Density functional theory data (PBE) for a geometry-optimized Ti6Zn2C structure.

abc: 3.1443 7.0211 7.0197
angles: 120.01 90.00 90.00
Fractional positions:
Ti: 0.5000 0.6103 0.0000
Ti: 0.5000 0.3884 0.3882
Ti: 0.5000 0.0002 0.6118
Ti: 0.0000 0.2311 0.0000
Ti: 0.0000 0.7691 0.7694
Ti: 0.0000 0.9997 0.2306
Zn: 0.0000 0.3332 0.6662
Zn: 0.0000 0.6670 0.3338
C: 0.5000 0.0009 0.0000

Results
excess energy over the best structure of this formula in the dataset: 0.0 meV/atom
crystal system: orthorhombic
SG: Amm2 (38)
N(E_F): 1.511 states/eV per atom
total DFT energy (no corrections): -61.0 eV per cell

---

Density functional theory data (PBE) for a geometry-optimized Y2HoTl structure.

abc: 5.3268 6.7247 6.7636
angles: 78.33 90.00 90.00
Fractional positions:
Y: 0.7500 0.4126 0.9036
Y: 0.2500 0.5874 0.0964
Y: 0.2500 0.1321 0.7677
Y: 0.7500 0.8679 0.2323
Ho: 0.2500 0.6642 0.5756
Ho: 0.7500 0.3358 0.4244
Tl: 0.7500 0.8845 0.7470
Tl: 0.2500 0.1155 0.2530

Results
excess energy over the best structure of this formula in the dataset: 0.0 meV/atom
crystal system: monoclinic
SG: P2_1/m (11)
N(E_F): 1.114 states/eV per atom
total DFT energy (no corrections): -41.4 eV per cell